Below is a PBEsol-optimized structure of CaCuAs2, with properties calculated at the meta-GGA SCAN level.

Structure (POSCAR):
```
CaCuAs2
1.0
4.302 0.000 0.000
0.000 4.302 0.000
0.000 0.000 3.925
Ca Cu As
1 1 2
direct
0.000 0.000 0.000
0.500 0.500 0.000
0.000 0.500 0.500
0.500 0.000 0.500
```

Properties
N(E_F) = 0.332 states/eV per atom
Density = 5.8 g/cm³
Spin magnetization = 0.0 Bohr magnetons per cell
Final energy = -66.5 eV for the cell shown
Space group = P4/mmm
Energy of formation = -1.23 eV/f.u.